[1]
MgRe2Os, optimized geometry, DFT PBE; DFT total energy = -9.153 eV per atom; DFT formation energy = 26.7 kJ/mol of atoms
1.0
4.682 -1.386 0.000
4.682 1.386 0.000
-0.925 0.000 4.723
Mg Re Os
1 2 1
direct
0.000 0.000 0.000
0.233 0.233 0.709
0.486 0.486 0.496
0.759 0.759 0.230



[2]
RbCuAsSe3, optimized geometry, DFT PBE; DFT total energy = -3.780 eV per atom; ΔE_f (raw) = -419 meV/atom
1.0
9.383 0.000 0.000
0.000 3.939 0.000
-3.738 0.000 8.974
Rb Cu As Se
2 2 2 6
direct
0.207 0.250 0.245
0.793 0.750 0.755
0.071 0.250 0.587
0.929 0.750 0.413
0.335 0.750 0.868
0.665 0.250 0.132
0.136 0.250 0.859
0.207 0.750 0.546
0.469 0.750 0.149
0.531 0.250 0.851
0.793 0.250 0.454
0.864 0.750 0.141



[3]
TiCu2Au2, optimized geometry, DFT PBE; DFT total energy = -4.732 eV per atom; DFT formation energy = -19.7 kJ/mol of atoms; energy above the most stable polymorph in this dataset = 0.000 eV per atom
1.0
4.807 0.000 0.000
0.698 4.765 0.000
2.220 2.045 6.658
Ti Cu Au
2 4 4
direct
0.247 0.260 0.250
0.753 0.740 0.750
0.251 0.867 0.043
0.258 0.044 0.657
0.742 0.956 0.343
0.749 0.133 0.957
0.236 0.683 0.439
0.255 0.452 0.856
0.745 0.548 0.144
0.764 0.317 0.561



For reference, DOS(E_F) by record: 3.33; 4.56; 2.12 states/eV/f.u..